MnCu2Au6 | PBE | relaxed

POSCAR file:
```
MnCu2Au6
1.0
-4.4477 1.6552 1.1008
0.5985 -0.8791 8.0022
2.3323 7.1486 2.9367
Mn Cu Au
2 4 12
direct
0.2500 0.1250 0.8750 Mn
0.7500 0.8750 0.1250 Mn
0.4115 0.5407 0.7919 Cu
0.0885 0.2081 0.4593 Cu
0.5885 0.4593 0.2081 Cu
0.9115 0.7919 0.5407 Cu
0.4782 0.6802 0.4324 Au
0.0218 0.5676 0.3198 Au
0.5218 0.3198 0.5676 Au
0.9782 0.4324 0.6802 Au
0.6525 0.0998 0.3516 Au
0.8475 0.6484 0.9002 Au
0.3475 0.9002 0.6484 Au
0.1525 0.3516 0.0998 Au
0.3051 0.7630 0.0138 Au
0.1949 0.9862 0.2370 Au
0.6949 0.2370 0.9862 Au
0.8051 0.0138 0.7630 Au
```

## Properties
Spin magnetization in μB/f.u.: 4.15
Formation energy from the elements in meV per atom: -8.6
Energy above the lowest structure with this stoichiometry in meV per atom: 18